## CsNaCuI3 (PBE)

Data for CsNaCuI3 after structural relaxation.

a b c (Å): 6.8305 8.5939 10.5235
angles (deg): 105.15 90.00 113.42
Fractional positions:
Cs1 0.3518 0.7037 0.9820
Cs2 0.6482 0.2963 0.0180
Na1 0.6250 0.2500 0.6041
Na2 0.3750 0.7500 0.3959
Cu1 0.0354 0.0708 0.2533
Cu2 0.9646 0.9292 0.7467
I1 0.8827 0.7655 0.2705
I2 0.8207 0.6414 0.7981
I3 0.5462 0.0925 0.3057
I4 0.1793 0.3586 0.2019
I5 0.4538 0.9075 0.6943
I6 0.1173 0.2345 0.7296

Computed properties:
Fermi-level density of states ... 0.00 states/eV/cell
M_tot ... 0.000 μB/atom
Formation energy without anion corrections ... -0.872 eV/atom